# 1
Entry from Alexandria via LeMat-Bulk: a relaxed structure of BeAsBr (GGA-PBE).

Lattice parameters (Å, degrees): 7.6663 7.6663 7.6663 157.02 157.02 32.73
Closest atoms and distances in Å follow each position.
Element x y z (fractional)
Be (0.0000, 0.0000, 0.0000)  4 Br 2.64, 4 As 2.70
As (0.3896, 0.3896, 0.0000)  4 Be 2.70
Br (0.6026, 0.6026, 0.0000)  4 Be 2.64

Results
formation energy without anion corrections	1.191	eV per formula unit
crystal system	tetragonal
calculated total energy	-2.953	eV/atom
polymorph energy (0 for the lowest one)	952	meV/atom


# 2
Entry from Alexandria via LeMat-Bulk: a relaxed structure of Be2AsBr (GGA-PBE).

Lattice parameters (Å, degrees): 7.2240 7.2240 7.2240 153.37 153.37 38.01
Closest atoms and distances in Å follow each position.
Element x y z (fractional)
Be (0.0000, 0.0000, 0.0000)  4 As 2.35
Be (0.7500, 0.2500, 0.5000)  4 Br 2.35
As (0.5000, 0.5000, 0.0000)  4 Be 2.35
Br (0.2500, 0.7500, 0.5000)  4 Be 2.35

Results
formation energy without anion corrections	2.109	eV per formula unit
crystal system	tetragonal
calculated total energy	-2.917	eV/atom
polymorph energy (0 for the lowest one)	825	meV/atom


# 3
Entry from Alexandria via LeMat-Bulk: a relaxed structure of BeAsBr (GGA-PBE).

Lattice parameters (Å, degrees): 3.2121 3.2121 7.1802 90.00 90.00 120.00
Closest atoms and distances in Å follow each position.
Element x y z (fractional)
Be (0.0000, 0.0000, 0.0000)  3 Br 2.30
As (0.3333, 0.6667, 0.7433)  3 Be 2.61
Br (0.6667, 0.3333, 0.1883)  3 Be 2.30

Results
formation energy without anion corrections	-0.055	eV per formula unit
crystal system	trigonal
calculated total energy	-3.368	eV/atom
polymorph energy (0 for the lowest one)	537	meV/atom


# 4
Entry from Alexandria via LeMat-Bulk: a relaxed structure of Be2AsBr (GGA-PBE).

Lattice parameters (Å, degrees): 3.7141 3.7153 6.2753 90.00 90.76 90.00
Closest atoms and distances in Å follow each position.
Element x y z (fractional)
Be (0.0000, 0.0000, 0.0000)  2 As 2.21, 2 Br 2.47-2.48
Be (0.4992, 0.5000, 0.0006)  2 As 2.22, 2 Br 2.47
As (0.9950, 0.5000, 0.8079)  4 Be 2.21-2.22
Br (0.5052, 0.0000, 0.2608)  4 Be 2.47-2.48

Results
formation energy without anion corrections	-0.875	eV per formula unit
crystal system	monoclinic
calculated total energy	-3.662	eV/atom
polymorph energy (0 for the lowest one)	79	meV/atom


# 5
Entry from Alexandria via LeMat-Bulk: a relaxed structure of Be2AsBr (GGA-PBE).

Lattice parameters (Å, degrees): 3.3530 3.3530 6.4892 90.00 90.00 90.00
Closest atoms and distances in Å follow each position.
Element x y z (fractional)
Be (0.0000, 0.0000, 0.0000)  4 As 2.37
Be (0.5000, 0.5000, 0.3472)  1 As 2.19
As (0.5000, 0.5000, 0.0094)  5 Be 2.19-2.37
Br (0.0000, 0.0000, 0.4896)  4 Be 2.54

Results
formation energy without anion corrections	0.533	eV per formula unit
crystal system	tetragonal
calculated total energy	-3.310	eV/atom
polymorph energy (0 for the lowest one)	431	meV/atom


# 6
Entry from Alexandria via LeMat-Bulk: a relaxed structure of Be2AsBr (GGA-PBE).

Lattice parameters (Å, degrees): 5.8561 5.8561 5.8561 146.08 109.37 80.70
Closest atoms and distances in Å follow each position.
Element x y z (fractional)
Be (0.1968, 0.0000, 0.1968)  2 As 2.17
Be (0.8032, 0.0000, 0.8032)  2 As 2.17
As (0.0000, 0.5000, 0.5000)  4 Be 2.17
Br (0.5000, 0.5000, 0.0000)  4 Be 2.67

Results
formation energy without anion corrections	1.346	eV per formula unit
crystal system	orthorhombic
calculated total energy	-3.107	eV/atom
polymorph energy (0 for the lowest one)	634	meV/atom


# 7
Entry from Alexandria via LeMat-Bulk: a relaxed structure of BeAs2Br (GGA-PBE).

Lattice parameters (Å, degrees): 3.8567 3.8567 6.8224 98.19 98.19 58.00
Closest atoms and distances in Å follow each position.
Element x y z (fractional)
Be (0.0000, 0.0000, 0.0000)  4 As 2.29
As (0.3516, 0.3516, 0.8473)  2 Be 2.29
As (0.6484, 0.6484, 0.1527)  2 Be 2.29
Br (0.5000, 0.5000, 0.5000)  2 As 2.72

Results
formation energy without anion corrections	0.270	eV per formula unit
crystal system	monoclinic
calculated total energy	-3.607	eV/atom
polymorph energy (0 for the lowest one)	152	meV/atom


# 8
Entry from Alexandria via LeMat-Bulk: a relaxed structure of BeAsBr (GGA-PBE).

Lattice parameters (Å, degrees): 3.5925 3.9564 10.4667 79.99 88.98 90.00
Closest atoms and distances in Å follow each position.
Element x y z (fractional)
Be (0.2398, 0.4140, 0.1887)  2 Br 2.24, 2 As 2.27
Be (0.7602, 0.5860, 0.8113)  2 Br 2.24, 2 As 2.27
As (0.2459, 0.9635, 0.0806)  2 Be 2.27, 2 As 2.45
As (0.7541, 0.0365, 0.9194)  2 Be 2.27, 2 As 2.45
Br (0.2664, 0.6466, 0.6813)  2 Be 2.24
Br (0.7336, 0.3534, 0.3187)  2 Be 2.24

Results
formation energy without anion corrections	-1.665	eV per formula unit
crystal system	triclinic
calculated total energy	-3.905	eV/atom
polymorph energy (0 for the lowest one)	0	meV/atom


# 9
Entry from Alexandria via LeMat-Bulk: a relaxed structure of Be2AsBr (GGA-PBE).

Lattice parameters (Å, degrees): 3.2124 3.4613 6.6414 90.00 90.00 90.00
Closest atoms and distances in Å follow each position.
Element x y z (fractional)
Be (0.0000, 0.0000, 0.0000)  4 Br 2.36
Be (0.0000, 0.5000, 0.5000)  4 As 2.36
As (0.5000, 0.0000, 0.5000)  4 Be 2.36
Br (0.5000, 0.5000, 0.0000)  4 Be 2.36

Results
formation energy without anion corrections	2.128	eV per formula unit
crystal system	orthorhombic
calculated total energy	-2.912	eV/atom
polymorph energy (0 for the lowest one)	830	meV/atom


# 10
Entry from Alexandria via LeMat-Bulk: a relaxed structure of BeAs2Br (GGA-PBE).

Lattice parameters (Å, degrees): 7.0472 7.0472 7.0472 131.67 131.67 70.75
Closest atoms and distances in Å follow each position.
Element x y z (fractional)
Be (0.0000, 0.0000, 0.0000)  4 As 2.19
Be (0.7500, 0.2500, 0.5000)  4 As 2.19
As (0.0152, 0.6250, 0.8902)  2 Be 2.19
As (0.3750, 0.2652, 0.3902)  2 Be 2.19
As (0.7348, 0.1250, 0.1098)  2 Be 2.19
As (0.8750, 0.9848, 0.6098)  2 Be 2.19
Br (0.2500, 0.7500, 0.5000)  4 As 2.91
Br (0.5000, 0.5000, 0.0000)  4 As 2.91

Results
formation energy without anion corrections	1.476	eV per formula unit
crystal system	tetragonal
calculated total energy	-3.306	eV/atom
polymorph energy (0 for the lowest one)	453	meV/atom


# 11
Entry from Alexandria via LeMat-Bulk: a relaxed structure of BeAsBr2 (GGA-PBE).

Lattice parameters (Å, degrees): 3.6195 3.6195 12.3308 90.00 90.00 128.53
Closest atoms and distances in Å follow each position.
Element x y z (fractional)
Be (0.0000, 0.0000, 0.0000)  4 Br 2.24
As (0.0000, 0.0000, 0.5000)  2 As 3.14
Br (0.5000, 0.5000, 0.1289)  2 Be 2.24
Br (0.5000, 0.5000, 0.8711)  2 Be 2.24

Results
formation energy without anion corrections	0.149	eV per formula unit
crystal system	orthorhombic
calculated total energy	-2.893	eV/atom
polymorph energy (0 for the lowest one)	273	meV/atom


# 12
Entry from Alexandria via LeMat-Bulk: a relaxed structure of BeAsBr2 (GGA-PBE).

Lattice parameters (Å, degrees): 7.6047 7.6047 7.6047 155.25 140.32 47.33
Closest atoms and distances in Å follow each position.
Element x y z (fractional)
Be (0.0000, 0.0000, 0.0000)  2 Br 2.22
As (0.8631, 0.3631, 0.5000)  2 Be 2.51, 2 Br 2.66
Br (0.1079, 0.6079, 0.5000)  2 Be 2.22
Br (0.4105, 0.4105, 0.0000)  2 As 2.66

Results
formation energy without anion corrections	-0.428	eV per formula unit
crystal system	orthorhombic
calculated total energy	-3.037	eV/atom
polymorph energy (0 for the lowest one)	129	meV/atom